[1]
GGA-PBE TmHO2, relaxed; magnetic moment = 0.00 μB per formula unit; electronic total energy = -114.0 eV/cell
1.0
-2.6557 1.2660 4.5625
-4.3626 -3.6819 -1.5177
1.2129 -5.3405 2.1879
Tm H O
4 4 8
direct
0.4856 0.2332 0.2530 Tm
0.0144 0.2332 0.7530 Tm
0.9856 0.7668 0.2470 Tm
0.5144 0.7668 0.7470 Tm
0.9723 0.2824 0.2674 H
0.4723 0.7176 0.2326 H
0.5277 0.2824 0.7674 H
0.0277 0.7176 0.7326 H
0.1403 0.1315 0.1245 O
0.3597 0.1315 0.6245 O
0.8665 0.3683 0.3562 O
0.3665 0.6317 0.1438 O
0.6335 0.3683 0.8562 O
0.1335 0.6317 0.6438 O
0.6403 0.8685 0.3755 O
0.8597 0.8685 0.8755 O

---

[2]
GGA-PBE TmHO2, relaxed; magnetic moment = 0.00 μB per formula unit; electronic total energy = -28.3 eV/cell
1.0
-2.2945 -1.9626 -1.6802
0.2257 -3.4442 0.1619
-3.3894 -1.8056 3.1848
H Tm O
1 1 2
direct
0.0000 0.0000 0.0000 H
0.5000 0.5000 0.5000 Tm
0.0891 0.0891 0.7328 O
0.9109 0.9109 0.2672 O

---

[3]
GGA-PBE TmH3O3, relaxed; magnetic moment = 0.00 μB per formula unit; electronic total energy = -86.4 eV/cell
1.0
6.2830 0.0000 0.0000
-3.1415 5.4413 0.0000
0.0000 0.0000 3.4666
Tm H O
2 6 6
direct
0.3333 0.6667 0.2500 Tm
0.6667 0.3333 0.7500 Tm
0.8569 0.7202 0.2500 H
0.8633 0.1431 0.2500 H
0.2798 0.1367 0.2500 H
0.1431 0.2798 0.7500 H
0.1367 0.8569 0.7500 H
0.7202 0.8633 0.7500 H
0.9136 0.6016 0.2500 O
0.6880 0.0864 0.2500 O
0.3984 0.3120 0.2500 O
0.0864 0.3984 0.7500 O
0.3120 0.9136 0.7500 O
0.6016 0.6880 0.7500 O

---

[4]
GGA-PBE Tm2HO, relaxed; magnetic moment = 0.00 μB per formula unit; electronic total energy = -23.4 eV/cell
1.0
-2.1756 1.2138 -2.3077
-1.3124 -2.0702 -2.3502
-5.4097 -1.4457 1.8410
H Tm O
1 2 1
direct
0.0000 0.0000 0.0000 H
0.2474 0.2474 0.2577 Tm
0.7526 0.7526 0.7423 Tm
0.5000 0.5000 0.5000 O

---

Repeat the third record exactly.
GGA-PBE TmH3O3, relaxed; magnetic moment = 0.00 μB per formula unit; electronic total energy = -86.4 eV/cell
1.0
6.2830 0.0000 0.0000
-3.1415 5.4413 0.0000
0.0000 0.0000 3.4666
Tm H O
2 6 6
direct
0.3333 0.6667 0.2500 Tm
0.6667 0.3333 0.7500 Tm
0.8569 0.7202 0.2500 H
0.8633 0.1431 0.2500 H
0.2798 0.1367 0.2500 H
0.1431 0.2798 0.7500 H
0.1367 0.8569 0.7500 H
0.7202 0.8633 0.7500 H
0.9136 0.6016 0.2500 O
0.6880 0.0864 0.2500 O
0.3984 0.3120 0.2500 O
0.0864 0.3984 0.7500 O
0.3120 0.9136 0.7500 O
0.6016 0.6880 0.7500 O